No. 1
First-principles (PBE) data for a relaxed LiAgOs2 crystal, as listed in Alexandria.

Values from the calculation:
Relative energy among the computed polymorphs in eV per formula unit: 0.35
DFT formation energy in eV per formula unit: 1.3
V in Å³ per cell: 119.9
Magnetization in μB per formula unit: 0.0

Cell: 8.7491 2.6961 5.1106 Å, 90.00 96.13 90.00°
Last column: nearest neighbours and their distance in Å.
Space group Cm (No. 8)
Symmetry-distinct sites (fractional):
Li 0.0000 0.0000 0.0000 x2  3 Ag 2.46-2.68, 2 Li 2.70
Ag 0.2530 0.5000 0.1874 x2  3 Li 2.46-2.68, 2 Ag 2.70
Os 0.2409 0.0000 0.6917 x2  5 Os 2.48-2.70, 1 Li 2.76
Os 0.4969 0.0000 0.5269 x2  5 Os 2.48-2.70, 2 Li 2.77

***

No. 2
First-principles (PBE) data for a relaxed LiAg3Os crystal, as listed in Alexandria.

Values from the calculation:
Relative energy among the computed polymorphs in eV per formula unit: 0.67
DFT formation energy in eV per formula unit: 5.9
V in Å³ per cell: 134.7
Magnetization in μB per formula unit: 2.2

Cell: 5.1256 5.1256 5.1256 Å, 90.00 90.00 90.00°
Last column: nearest neighbours and their distance in Å.
Space group Pm-3m (No. 221)
Symmetry-distinct sites (fractional):
Li 0.0000 0.0000 0.0000 x1  12 Ag 3.62
Ag 0.0000 0.5000 0.5000 x3  2 Os 2.56
Os 0.5000 0.5000 0.5000 x1  6 Ag 2.56

***

- The highest relative energy among the computed polymorphs belongs to which entry?
  LiAg3Os